Model P:
A plane-wave DFT calculation with PBE was carried out for a geometry-optimized CuSbMoW structure.

## Properties
Symmetry: F-43m, No. 216
V, Å³ per atom: 16.27

Unit cell a=4.515 b=4.515 c=4.515 alpha=60.00 beta=60.00 gamma=60.00
Fractional coordinates of all 4 atoms:
1 Cu 0.750 0.750 0.750
2 Mo 0.250 0.250 0.250
3 Sb 0.000 0.000 0.000
4 W 0.500 0.500 0.500

=====

Model Q:
A plane-wave DFT calculation with PBE was carried out for a geometry-optimized CuSbMoW structure.

## Properties
Symmetry: F-43m, No. 216
V, Å³ per atom: 16.05

Unit cell a=4.495 b=4.495 c=4.495 alpha=60.00 beta=60.00 gamma=60.00
Fractional coordinates of all 4 atoms:
1 Cu 0.750 0.750 0.750
2 Mo 0.000 0.000 0.000
3 Sb 0.250 0.250 0.250
4 W 0.500 0.500 0.500

=====

Most stable of them? model P.